1.
Entry from Alexandria: an optimized crystal structure of CaPrSmAl (PBE-GGA).

a b c (Å): 5.5120 5.5120 5.5120
angles (deg): 60.00 60.00 60.00
Positions (direct):
1 Sm 0.0000 0.0000 0.0000
2 Al 0.2500 0.2500 0.2500
3 Pr 0.5000 0.5000 0.5000
4 Ca 0.7500 0.7500 0.7500

Summary:
Calculated formation energy, meV/atom: -81
Electronic total energy, eV/atom: -3.8920
Magnetization, μB/f.u.: 0.00
SG: No. 216

***

2.
Entry from Alexandria: an optimized crystal structure of CaPrAlSn (PBE-GGA).

a b c (Å): 5.3842 5.3842 5.3842
angles (deg): 60.00 60.00 60.00
Positions (direct):
1 Al 0.7500 0.7500 0.7500
2 Sn 0.2500 0.2500 0.2500
3 Pr 0.0000 0.0000 0.0000
4 Ca 0.5000 0.5000 0.5000

Summary:
Calculated formation energy, meV/atom: -414
Electronic total energy, eV/atom: -4.0454
Magnetization, μB/f.u.: 0.00
SG: No. 216